La5Pr5Cd2 after structural relaxation. Source: Alexandria, functional PBE-GGA.

```
La5Pr5Cd2
1.0
6.306 -2.843 0.000
6.306 2.843 0.000
-0.011 0.000 11.503
La Pr Cd
5 5 2
direct
0.000 0.000 0.000 La
0.319 0.319 0.535 La
0.482 0.482 0.250 La
0.518 0.518 0.750 La
0.681 0.681 0.465 La
0.000 0.000 0.500 Pr
0.183 0.183 0.248 Pr
0.317 0.317 0.963 Pr
0.683 0.683 0.037 Pr
0.817 0.817 0.752 Pr
0.146 0.146 0.749 Cd
0.854 0.854 0.251 Cd
```

Its space group is C2/m. For the energy relative to the elements, the calculation gives -74 meV per atom.